4
Lattice="2.692 -4.990 0.000 2.692 4.990 0.000 0.000 0.000 2.747" Properties=species:S:1:pos:R:3 comment="PBE LaNiW2, relaxed" formation_enthalpy_0k_kj_per_mol_atoms=83.14 m_tot_mub_per_atom=0.000 polymorph_energy_mev_per_atom=555 vol_a3_per_cell=73.81 dft_energy_ev_per_atom=-8.29 pbc="T T T"
La 0.000 0.000 0.000
Ni 2.692 0.000 0.000
W 1.346 2.495 1.374
W 1.346 -2.495 1.374

=====

10
Lattice="4.369 0.000 0.000 0.000 4.369 0.000 0.000 0.000 9.956" Properties=species:S:1:pos:R:3 comment="PBE USi2Au2, relaxed" m_tot_mub_per_atom=0.554 polymorph_energy_mev_per_atom=0 vol_a3_per_cell=190.05 formation_energy_uncorrected_ev_per_atom=-0.170 dft_energy_ev_per_atom=-5.91 pbc="T T T"
U 1.092 1.092 2.423
U 3.277 3.277 7.533
Si 1.092 1.092 6.328
Si 1.092 3.277 0.000
Si 3.277 1.092 0.000
Si 3.277 3.277 3.629
Au 1.092 1.092 8.734
Au 1.092 3.277 4.978
Au 3.277 1.092 4.978
Au 3.277 3.277 1.222

=====

18
Lattice="4.594 -5.008 0.000 4.594 5.008 0.000 -1.664 0.000 13.462" Properties=species:S:1:pos:R:3 comment="PBE AcPm5Dy3, relaxed" formation_enthalpy_0k_kj_per_mol_atoms=7.20 m_tot_mub_per_atom=0.000 vol_a3_per_cell=619.49 dft_energy_ev_per_atom=-4.56 pbc="T T T"
Ac 3.346 3.464 10.097
Ac 4.178 -3.464 3.366
Pm 2.411 1.814 5.631
Pm 1.479 1.506 12.401
Pm 4.178 3.152 3.366
Pm 2.311 -1.506 5.670
Pm 5.945 1.814 1.100
Pm 1.579 -1.814 12.362
Pm 5.214 1.506 7.792
Pm 3.346 -3.152 10.097
Pm 6.046 -1.506 1.061
Pm 5.113 -1.814 7.831
Dy 0.000 0.000 0.000
Dy -0.832 0.000 6.731
Dy 1.977 0.017 8.970
Dy 2.809 -0.017 2.239
Dy 4.716 0.017 11.223
Dy 5.548 -0.017 4.492

=====

14
Lattice="6.827 0.000 0.000 0.000 6.827 0.000 0.000 0.000 6.827" Properties=species:S:1:pos:R:3 comment="PBE TbRe3Tc3, relaxed" formation_enthalpy_0k_kj_per_mol_atoms=93.80 m_tot_mub_per_atom=0.000 vol_a3_per_cell=318.15 dft_energy_ev_per_atom=-9.47 pbc="T T T"
Tb 0.000 0.000 0.000
Tb 3.413 3.413 3.413
Re 0.000 1.707 3.413
Re 0.000 5.120 3.413
Re 1.707 3.413 0.000
Re 3.413 0.000 1.707
Re 3.413 0.000 5.120
Re 5.120 3.413 0.000
Tc 0.000 3.413 1.707
Tc 0.000 3.413 5.120
Tc 1.707 0.000 3.413
Tc 3.413 1.707 0.000
Tc 3.413 5.120 0.000
Tc 5.120 0.000 3.413

=====

8
Lattice="-3.687 3.687 4.723 3.687 -3.687 4.723 3.687 3.687 -4.723" Properties=species:S:1:pos:R:3 comment="PBE TeWBr2, relaxed" m_tot_mub_per_atom=0.046 polymorph_energy_mev_per_atom=1065 vol_a3_per_cell=256.90 formation_energy_uncorrected_ev_per_atom=1.011 dft_energy_ev_per_atom=-3.85 pbc="T T T"
Te 0.000 0.000 0.000
Te 0.000 3.687 2.362
W 3.687 0.000 2.362
W 0.000 0.000 4.723
Br 1.844 2.621 -1.181
Br 4.754 1.844 1.181
Br 1.844 1.066 3.542
Br -1.066 1.844 5.904

=====

13
Lattice="-4.375 4.375 2.743 4.375 -4.375 2.743 4.375 4.375 -2.743" Properties=species:S:1:pos:R:3 comment="PBE ErZn8Pd4, relaxed" formation_enthalpy_0k_kj_per_mol_atoms=-42.66 m_tot_mub_per_atom=0.000 vol_a3_per_cell=210.02 dft_energy_ev_per_atom=-3.17 pbc="T T T"
Er 0.000 0.000 0.000
Zn 3.034 0.000 0.000
Zn 5.716 0.000 0.000
Zn 4.375 2.482 0.000
Zn 0.000 3.034 0.000
Zn 2.482 4.375 0.000
Zn 1.893 0.000 2.743
Zn 0.000 5.716 0.000
Zn 0.000 1.893 2.743
Pd 2.187 2.187 -1.372
Pd 2.187 -2.187 1.372
Pd -2.187 2.187 1.372
Pd 2.187 2.187 1.372

=====

> Number 6 is which compound?

ErZn8Pd4